First-principles (GGA+U) data for a relaxed PuMnCu2O6 crystal, as listed in Alexandria via LeMat-Bulk.

## Properties
Density of states at the Fermi level ... 8.3 states/eV/cell
ρ ... 7.176 Mg/m³
Space-group type ... No. 15
Uncorrected energy ... -7.3971 eV per atom

Lattice parameters (Å, degrees): 6.789 6.789 5.330 96.26 96.26 83.77
Atoms (fractional coordinates):
Pu1 0.234 0.766 0.750
Pu2 0.766 0.234 0.250
Mn1 0.413 0.587 0.250
Mn2 0.587 0.413 0.750
Cu1 0.098 0.296 0.814
Cu2 0.296 0.098 0.314
Cu3 0.704 0.902 0.686
Cu4 0.902 0.704 0.186
O1 0.046 0.217 0.142
O2 0.153 0.635 0.384
O3 0.217 0.046 0.642
O4 0.321 0.474 0.893
O5 0.365 0.847 0.116
O6 0.474 0.321 0.393
O7 0.526 0.679 0.607
O8 0.635 0.153 0.884
O9 0.679 0.526 0.107
O10 0.783 0.954 0.358
O11 0.847 0.365 0.616
O12 0.954 0.783 0.858